Density functional theory data (GGA-PBEsol) for a relaxed structure of TcSnSN2.

Results
energy relative to the elements, uncorrected	246	meV/atom
D(E_F)	2.9	states/eV/cell
total magnetization	0.00	μB/atom
uncorrected energy	-7.1468	eV per atom

abc: 3.8556 3.8556 4.9269
angles: 90.00 90.00 90.00
Closest atoms and distances in Å follow each position.
Space group P4/mmm (No. 123)
Symmetry-distinct sites (fractional):
Tc 0.0000 0.0000 0.0000 (multiplicity 1)  4 N 1.93
Sn 0.5000 0.5000 0.5000 (multiplicity 1)  4 S 2.73
S 0.0000 0.0000 0.5000 (multiplicity 1)  2 Tc 2.46, 4 Sn 2.73
N 0.0000 0.5000 0.0000 (multiplicity 2)  2 Tc 1.93